(1)
A geometry-optimized La2YBiIr structure, computed with PBE-GGA.

Structure (extended XYZ):
```
5
Lattice="5.540 0.000 0.000 0.000 5.540 0.000 0.000 0.000 5.503" Properties=species:S:1:pos:R:3 pbc="T T T"
La 0.000 2.770 0.000
La 2.770 0.000 0.000
Y 0.000 0.000 2.752
Bi 2.770 2.770 2.752
Ir 0.000 0.000 0.000
```

## Properties
space-group type	No. 123
crystal system	tetragonal
formation energy	-0.6345	eV per atom


(2)
A geometry-optimized Be2IrAu structure, computed with PBE-GGA.

Structure (extended XYZ):
```
12
Lattice="2.843 0.000 0.000 -1.421 2.462 0.000 0.000 0.000 21.916" Properties=species:S:1:pos:R:3 pbc="T T T"
Be 0.000 0.000 5.332
Be 0.000 0.000 16.585
Be 0.000 1.641 9.279
Be 0.000 1.641 19.942
Be 1.421 0.821 1.974
Be 1.421 0.821 12.637
Ir 0.000 0.000 10.958
Ir 0.000 1.641 3.653
Ir 1.421 0.821 18.263
Au 0.000 0.000 0.000
Au 0.000 1.641 14.611
Au 1.421 0.821 7.305
```

## Properties
space-group type	No. 166
crystal system	trigonal
formation energy	-0.1328	eV per atom


(3)
A geometry-optimized KThReO6 structure, computed with PBE-GGA.

Structure (extended XYZ):
```
9
Lattice="5.760 0.000 0.000 -2.880 4.988 0.000 0.000 0.000 5.754" Properties=species:S:1:pos:R:3 pbc="T T T"
K 0.000 0.000 0.000
Th 0.000 3.326 2.877
Re 2.880 1.663 2.877
O 2.198 0.247 3.960
O 1.313 1.780 1.794
O 3.562 0.247 1.794
O 1.995 2.961 3.960
O 4.447 1.780 3.960
O 3.765 2.961 1.794
```

## Properties
E_form (uncorrected)	-53.66	kcal/mol of atoms
space-group type	No. 149
crystal system	trigonal


(4)
A geometry-optimized CaZn2Ag2 structure, computed with PBE-GGA.

Structure (extended XYZ):
```
10
Lattice="7.917 0.000 0.000 0.000 7.917 0.000 0.000 0.000 3.068" Properties=species:S:1:pos:R:3 pbc="T T T"
Ca 0.000 0.000 0.000
Ca 3.958 3.958 0.000
Zn 1.284 2.674 1.534
Zn 2.674 6.632 1.534
Zn 5.243 1.284 1.534
Zn 6.632 5.243 1.534
Ag 1.056 5.015 0.000
Ag 2.902 1.056 0.000
Ag 5.015 6.860 0.000
Ag 6.860 2.902 0.000
```

## Properties
space-group type	No. 127
E above lowest polymorph	93	meV/atom
crystal system	tetragonal
formation energy	-0.1037	eV per atom


(5)
A geometry-optimized CsThAgCl6 structure, computed with PBE-GGA.

Structure (extended XYZ):
```
18
Lattice="7.132 0.000 0.000 -3.566 6.177 0.000 0.000 0.000 15.705" Properties=species:S:1:pos:R:3 pbc="T T T"
Cs 0.000 0.000 0.000
Cs 0.000 0.000 7.853
Th 0.000 4.118 3.926
Th 3.566 2.059 11.779
Ag 0.000 4.118 11.779
Ag 3.566 2.059 3.926
Cl -1.253 2.318 2.345
Cl -2.185 3.932 5.508
Cl 1.253 2.318 5.508
Cl -0.932 6.103 2.345
Cl 2.634 0.074 10.197
Cl 1.381 2.244 13.360
Cl 2.185 3.932 2.345
Cl 0.932 6.103 5.508
Cl 4.498 0.074 13.360
Cl 2.313 3.859 10.197
Cl 5.751 2.244 10.197
Cl 4.819 3.859 13.360
```

## Properties
E_form (uncorrected)	-41.19	kcal/mol of atoms
space-group type	No. 163
crystal system	trigonal


(6)
A geometry-optimized TbEr6Tl3 structure, computed with PBE-GGA.

Structure (extended XYZ):
```
20
Lattice="5.205 -7.663 0.000 5.205 7.663 0.000 0.000 0.000 7.653" Properties=species:S:1:pos:R:3 pbc="T T T"
Tb 5.205 4.537 3.827
Tb 5.205 -4.537 0.000
Er 5.205 6.974 1.634
Er 2.738 2.874 5.460
Er 2.826 0.511 0.180
Er 5.205 3.156 0.358
Er 2.826 -0.511 4.007
Er 2.738 -2.874 1.633
Er 7.671 2.874 5.460
Er 7.583 0.511 0.180
Er 5.205 -3.156 4.185
Er 7.583 -0.511 4.007
Er 7.671 -2.874 1.633
Er 5.205 -6.974 5.461
Tl 1.621 2.034 2.675
Tl 1.621 -2.034 6.502
Tl 5.205 0.901 5.637
Tl 5.205 -0.901 1.810
Tl 8.788 2.034 2.675
Tl 8.788 -2.034 6.502
```

## Properties
space-group type	No. 36
crystal system	orthorhombic
formation energy	-0.0709	eV per atom


(7)
A geometry-optimized GaBSe2 structure, computed with PBE-GGA.

Structure (extended XYZ):
```
8
Lattice="5.614 0.000 0.000 -1.175 5.511 0.000 -1.919 -2.001 5.970" Properties=species:S:1:pos:R:3 pbc="T T T"
Ga 0.000 0.000 0.000
Ga 1.640 2.916 1.114
B -1.520 3.649 3.050
B 1.855 1.084 0.024
Se -0.902 3.235 1.189
Se 0.550 -0.509 4.087
Se 3.287 -0.069 1.004
Se 2.579 2.545 3.602
```

## Properties
E_form (uncorrected)	-4.24	kcal/mol of atoms
space-group type	No. 1
E above lowest polymorph	38	meV/atom
crystal system	triclinic


(8)
A geometry-optimized Mn3NbIr structure, computed with PBE-GGA.

Structure (extended XYZ):
```
5
Lattice="4.405 0.000 0.000 0.000 4.405 0.000 0.000 0.000 4.405" Properties=species:S:1:pos:R:3 pbc="T T T"
Mn 0.000 0.000 2.203
Mn 0.000 2.203 0.000
Mn 2.203 0.000 0.000
Nb 2.203 2.203 2.203
Ir 0.000 0.000 0.000
```

## Properties
space-group type	No. 221
crystal system	cubic
formation energy	1.4977	eV per atom


Which formula does entry 2 have?
Be2IrAu


Repeat the fifth record exactly.
A geometry-optimized CsThAgCl6 structure, computed with PBE-GGA.

Structure (extended XYZ):
```
18
Lattice="7.132 0.000 0.000 -3.566 6.177 0.000 0.000 0.000 15.705" Properties=species:S:1:pos:R:3 pbc="T T T"
Cs 0.000 0.000 0.000
Cs 0.000 0.000 7.853
Th 0.000 4.118 3.926
Th 3.566 2.059 11.779
Ag 0.000 4.118 11.779
Ag 3.566 2.059 3.926
Cl -1.253 2.318 2.345
Cl -2.185 3.932 5.508
Cl 1.253 2.318 5.508
Cl -0.932 6.103 2.345
Cl 2.634 0.074 10.197
Cl 1.381 2.244 13.360
Cl 2.185 3.932 2.345
Cl 0.932 6.103 5.508
Cl 4.498 0.074 13.360
Cl 2.313 3.859 10.197
Cl 5.751 2.244 10.197
Cl 4.819 3.859 13.360
```

## Properties
E_form (uncorrected)	-41.19	kcal/mol of atoms
space-group type	No. 163
crystal system	trigonal